# MnNbFe2O6, optimized geometry, DFT GGA+U
data_MnNbFe2O6
_cell_length_a 5.204
_cell_length_b 5.312
_cell_length_c 5.554
_cell_angle_alpha 61.88
_cell_angle_beta 87.75
_cell_angle_gamma 61.12
_symmetry_space_group_name_H-M 'P 1'
_symmetry_Int_Tables_number 1
loop_
_symmetry_equiv_pos_as_xyz
'x,y,z'
loop_
_atom_site_label
_atom_site_type_symbol
_atom_site_fract_x
_atom_site_fract_y
_atom_site_fract_z
_atom_site_occupancy
Mn1 Mn 0.000 0.000 0.000 1
Nb1 Nb 0.494 0.988 0.498 1
Fe1 Fe 0.217 0.572 0.637 1
Fe2 Fe 0.716 0.573 0.124 1
O1 O 0.139 0.087 0.286 1
O2 O 0.277 0.095 0.792 1
O3 O 0.433 0.438 0.338 1
O4 O 0.622 0.512 0.789 1
O5 O 0.785 0.838 0.286 1
O6 O 0.907 0.811 0.811 1
# Uncorrected energy, eV/cell: -76.807
# Density, Mg/m³: 5.1